# 1
Compound: RbWS2
Source: Alexandria via LeMat-Bulk
Functional: GGA-PBE
Structure: relaxed Values from VASP.

Output
- Calculated total energy: -5.8099 eV per atom
- Formation energy from raw total energies: -6.13 kcal/mol of atoms
- Distance to the lowest polymorph of the same formula: 0.163 eV/atom

```
&SYSTEM
  ibrav = 0, nat = 4, ntyp = 3
/
ATOMIC_SPECIES
S 32.06 S.upf
Rb 85.47 Rb.upf
W 183.84 W.upf
CELL_PARAMETERS angstrom
-8.006 -2.795 4.137
-5.937 -2.426 6.920
-7.589 0.346 5.596
ATOMIC_POSITIONS crystal
S 0.886 0.886 0.886
S 0.114 0.114 0.114
Rb 0.000 0.000 0.000
W 0.500 0.500 0.500
```

***

# 2
Compound: SiPdC3
Source: Alexandria via LeMat-Bulk
Functional: GGA-PBE
Structure: relaxed Values from VASP.

Output
- Calculated total energy: -5.7201 eV per atom
- Formation energy from raw total energies: 44.68 kcal/mol of atoms
- Distance to the lowest polymorph of the same formula: 0.000 eV/atom

```
&SYSTEM
  ibrav = 0, nat = 5, ntyp = 3
/
ATOMIC_SPECIES
Si 28.09 Si.upf
C 12.01 C.upf
Pd 106.42 Pd.upf
CELL_PARAMETERS angstrom
-2.986 2.089 0.926
0.005 -1.518 3.440
2.285 2.733 1.203
ATOMIC_POSITIONS crystal
Si 0.000 0.000 0.000
C 0.000 0.500 0.000
C 0.000 0.000 0.500
C 0.500 0.000 0.000
Pd 0.500 0.500 0.500
```